This record from Alexandria via LeMat-Bulk describes a PBEsol-optimized structure of PtWCl3. The functional is meta-GGA SCAN. Values from VASP.

## Properties
Magnetic moment (μB/f.u.): 4.9
SG: No. 221
Density (g/cm3): 7.38
Uncorrected formation energy (eV/atom): 1.07

Cell and atoms, written as Quantum ESPRESSO input:
```
&SYSTEM
  ibrav = 0, nat = 5, ntyp = 3
/
ATOMIC_SPECIES
W 183.84 W.upf
Pt 195.08 Pt.upf
Cl 35.45 Cl.upf
CELL_PARAMETERS angstrom
4.780 0.000 0.000
0.000 4.780 0.000
0.000 0.000 4.780
ATOMIC_POSITIONS crystal
W 0.500 0.500 0.500
Pt 0.000 0.000 0.000
Cl 0.000 0.500 0.000
Cl 0.000 0.000 0.500
Cl 0.500 0.000 0.000
```